# Er5Ag2Pd12

Er5Ag2Pd12 after structural relaxation (PBE-GGA, the Alexandria database).

Properties
For the formation energy, the calculation gives -0.49 eV per atom. The value obtained for the total DFT energy (no corrections) is -5.273 eV per atom. Its crystal system is monoclinic.

abc: 8.7449 8.7449 9.4533
angles: 113.87 113.87 36.98
With the nearest neighbours (Å) after each atom.
Fractional coordinates of all 19 atoms:
1 Er 0.0000 0.0000 0.0000  6 Pd 2.74-3.02
2 Er 0.3166 0.3166 0.1269  9 Pd 2.76-3.00
3 Er 0.3466 0.3466 0.6281  7 Pd 2.67-2.95
4 Er 0.6534 0.6534 0.3719  7 Pd 2.67-2.95
5 Er 0.6834 0.6834 0.8731  9 Pd 2.76-3.00
6 Ag 0.2504 0.7496 0.5000  2 Ag 2.77-2.78, 4 Pd 2.81-3.05
7 Ag 0.7496 0.2504 0.5000  2 Ag 2.77-2.78, 4 Pd 2.81-3.05
8 Pd 0.0503 0.5750 0.3715  4 Pd 2.64-2.91, 2 Er 2.67-2.76, 1 Ag 2.81
9 Pd 0.0924 0.5930 0.8918  5 Pd 2.71-2.92, 4 Er 2.74-2.92
10 Pd 0.1080 0.1080 0.8110  4 Pd 2.90-2.92, 3 Er 3.00-3.02, 2 Ag 3.05
11 Pd 0.4070 0.9076 0.1082  5 Pd 2.71-2.92, 4 Er 2.74-2.92
12 Pd 0.4250 0.9497 0.6285  4 Pd 2.64-2.91, 2 Er 2.67-2.76, 1 Ag 2.81
13 Pd 0.4885 0.4885 0.1349  2 Er 2.70-2.82, 3 Pd 2.74-2.88
14 Pd 0.5115 0.5115 0.8651  2 Er 2.70-2.82, 3 Pd 2.74-2.88
15 Pd 0.5750 0.0503 0.3715  4 Pd 2.64-2.91, 2 Er 2.67-2.76, 1 Ag 2.81
16 Pd 0.5930 0.0924 0.8918  5 Pd 2.71-2.92, 4 Er 2.74-2.92
17 Pd 0.8920 0.8920 0.1890  4 Pd 2.90-2.92, 3 Er 3.00-3.02, 2 Ag 3.05
18 Pd 0.9076 0.4070 0.1082  5 Pd 2.71-2.92, 4 Er 2.74-2.92
19 Pd 0.9497 0.4250 0.6285  4 Pd 2.64-2.91, 2 Er 2.67-2.76, 1 Ag 2.81